DFT (PBE) results for Rb4Pm3HfS8 after structural relaxation.

- space group = R-3m (166)
- E (eV/atom) = -5.5255
- calculated density (g cm⁻³) = 4.5
- uncorrected formation energy (eV/f.u.) = -27.31
- crystal system = trigonal

Unit cell a=9.037 b=9.037 c=9.037 alpha=53.67 beta=53.67 gamma=53.67
Element x y z (fractional)
Rb1 0.000 0.000 0.000
Rb2 0.000 0.500 0.500
Rb3 0.500 0.000 0.500
Rb4 0.500 0.500 0.000
Pm1 0.000 0.000 0.500
Pm2 0.000 0.500 0.000
Pm3 0.500 0.000 0.000
Hf1 0.500 0.500 0.500
S1 0.234 0.234 0.234
S2 0.254 0.718 0.718
S3 0.282 0.282 0.746
S4 0.282 0.746 0.282
S5 0.718 0.254 0.718
S6 0.718 0.718 0.254
S7 0.746 0.282 0.282
S8 0.766 0.766 0.766

DFT (PBE) results for La2AlP after structural relaxation.

- space group = R-3m (166)
- ΔE to the lowest computed polymorph (kJ/mol of atoms) = 2.36
- E (eV/atom) = -5.5588
- calculated density (g cm⁻³) = 4.7
- ΔE_f (meV per atom) = -807
- crystal system = trigonal

Unit cell a=4.162 b=4.162 c=23.896 alpha=90.00 beta=90.00 gamma=120.00
Element x y z (fractional)
La1 0.000 0.000 0.239
La2 0.000 0.000 0.761
La3 0.333 0.667 0.428
La4 0.333 0.667 0.905
La5 0.667 0.333 0.095
La6 0.667 0.333 0.572
Al1 0.000 0.000 0.000
Al2 0.333 0.667 0.667
Al3 0.667 0.333 0.333
P1 0.000 0.000 0.500
P2 0.333 0.667 0.167
P3 0.667 0.333 0.833

DFT (PBE) results for AlNi6Sn after structural relaxation.

- space group = P4/mmm (123)
- E (eV/atom) = -5.6016
- calculated density (g cm⁻³) = 8.5
- ΔE_f (meV per atom) = -297
- crystal system = tetragonal

Unit cell a=3.662 b=3.662 c=7.260 alpha=90.00 beta=90.00 gamma=90.00
Element x y z (fractional)
Al1 0.000 0.000 0.000
Ni1 0.000 0.500 0.237
Ni2 0.000 0.500 0.763
Ni3 0.500 0.000 0.237
Ni4 0.500 0.000 0.763
Ni5 0.500 0.500 0.000
Ni6 0.500 0.500 0.500
Sn1 0.000 0.000 0.500

DFT (PBE) results for DyMgGa2Rh2 after structural relaxation.

- space group = P-3m1 (164)
- E (eV/atom) = -5.2259
- calculated density (g cm⁻³) = 8.3
- ΔE_f (meV per atom) = -734
- crystal system = trigonal

Unit cell a=4.328 b=4.328 c=6.585 alpha=90.00 beta=90.00 gamma=120.00
Element x y z (fractional)
Dy1 0.000 0.000 0.000
Mg1 0.000 0.000 0.500
Ga1 0.333 0.667 0.269
Ga2 0.667 0.333 0.731
Rh1 0.333 0.667 0.666
Rh2 0.667 0.333 0.334

Which of these has the lowest E? AlNi6Sn